The following is a DFT calculation (GGA-PBE) of CsCd3Ag4Br12 after structural relaxation.

Computed properties:
Crystal system   trigonal
Raw formation energy   -1236 kJ/mol of formula units
Total energy   -143.67 eV per cell

Cell: 15.1275 15.1275 10.8468 Å, 90.00 90.00 120.00°
Space group R32 (No. 155, hexagonal axes)
Inequivalent atoms, fractional coordinates:
Cs  0.0000  0.0000  0.0000 (multiplicity 3)
Cd  0.0000  0.5776  0.0000 (multiplicity 9)
Ag  0.0000  0.0000  0.5000 (multiplicity 3)
Ag  0.0000  0.4013  0.5000 (multiplicity 9)
Br  0.0000  0.5849  0.5000 (multiplicity 9)
Br  0.0000  0.8269  0.5000 (multiplicity 9)
Br  0.0634  0.2117  0.2045 (multiplicity 18)